[1]
Density functional theory data (PBE) for an optimized crystal structure of BeAgNF2.

abc: 3.199 3.199 6.057
angles: 90.00 90.00 90.00
Last column: magnetic moment on the atom in μB.
Fractional coordinates of all 5 atoms:
Be 0.000 0.000 0.000  0.00
N 0.000 0.000 0.500  0.59
Ag 0.500 0.500 0.500  0.13
F 0.000 0.500 0.000  0.01
F 0.500 0.000 0.000  0.01

Calculated values
E_form (uncorrected)   -0.916 eV/atom
Energy above the most stable polymorph in this dataset   0.000 eV per atom
Crystal system   tetragonal

***

[2]
Density functional theory data (PBE) for an optimized crystal structure of BeAgNF2.

abc: 4.285 4.285 4.047
angles: 90.00 90.00 90.00
Last column: magnetic moment on the atom in μB.
Fractional coordinates of all 5 atoms:
Be 0.500 0.500 0.500  -0.17
N 0.000 0.000 0.500  0.68
Ag 0.000 0.000 0.000  0.18
F 0.000 0.500 0.000  0.01
F 0.500 0.000 0.000  0.01

Calculated values
E_form (uncorrected)   0.575 eV/atom
Energy above the most stable polymorph in this dataset   1.491 eV per atom
Crystal system   tetragonal

***

[3]
Density functional theory data (PBE) for an optimized crystal structure of NaBeAg2F6.

abc: 5.398 5.703 7.986
angles: 90.00 90.85 90.00
Last column: magnetic moment on the atom in μB.
Fractional coordinates of all 20 atoms:
Na 0.500 0.000 0.000  0.00
Na 0.000 0.500 0.500  0.00
Be 0.500 0.000 0.500  0.00
Be 0.000 0.500 0.000  0.00
Ag 0.020 0.934 0.269  0.32
Ag 0.520 0.566 0.769  0.32
Ag 0.980 0.066 0.731  0.32
Ag 0.480 0.434 0.231  0.32
F 0.252 0.679 0.047  0.04
F 0.752 0.821 0.547  0.04
F 0.748 0.321 0.953  0.04
F 0.248 0.179 0.453  0.04
F 0.337 0.753 0.420  0.06
F 0.837 0.747 0.920  0.06
F 0.663 0.247 0.580  0.06
F 0.163 0.253 0.080  0.06
F 0.873 0.567 0.218  0.10
F 0.373 0.933 0.718  0.10
F 0.127 0.433 0.782  0.10
F 0.627 0.067 0.282  0.10

Calculated values
E_form (uncorrected)   -1.954 eV/atom
Crystal system   monoclinic

***

[4]
Density functional theory data (PBE) for an optimized crystal structure of NaBe2AgF6.

abc: 7.023 7.023 5.188
angles: 99.52 99.52 88.24
Fractional coordinates of all 20 atoms:
Na 0.603 0.397 0.250
Na 0.397 0.603 0.750
Be 0.296 0.130 0.761
Be 0.870 0.704 0.739
Be 0.704 0.870 0.239
Be 0.130 0.296 0.261
Ag 0.195 0.805 0.250
Ag 0.805 0.195 0.750
F 0.921 0.362 0.185
F 0.638 0.079 0.315
F 0.079 0.638 0.815
F 0.362 0.921 0.685
F 0.179 0.142 0.007
F 0.858 0.821 0.493
F 0.821 0.858 0.993
F 0.142 0.179 0.507
F 0.283 0.454 0.331
F 0.546 0.717 0.169
F 0.717 0.546 0.669
F 0.454 0.283 0.831

Calculated values
E_form (uncorrected)   -2.728 eV/atom
Crystal system   monoclinic

***

[5]
Density functional theory data (PBE) for an optimized crystal structure of NaBeAg2F4.

abc: 4.498 4.498 6.827
angles: 108.97 108.97 90.75
Fractional coordinates of all 8 atoms:
Na 0.003 0.003 0.007
Be 0.499 0.499 0.998
Ag 0.751 0.251 0.501
Ag 0.251 0.751 0.501
F 0.617 0.617 0.840
F 0.384 0.772 0.156
F 0.772 0.384 0.156
F 0.223 0.223 0.840

Calculated values
E_form (uncorrected)   -1.975 eV/atom
Crystal system   orthorhombic

***

[6]
Density functional theory data (PBE) for an optimized crystal structure of Na3BeAg3F8.

abc: 6.509 6.497 7.003
angles: 119.38 90.00 120.06
Fractional coordinates of all 15 atoms:
Na 0.500 0.000 0.500
Na 0.500 0.500 0.500
Na 0.000 0.500 0.500
Be 0.000 0.000 0.500
Ag 0.000 0.000 0.000
Ag 0.000 0.500 0.000
Ag 0.500 0.500 0.000
F 0.257 0.515 0.287
F 0.743 0.485 0.713
F 0.809 0.619 0.325
F 0.191 0.381 0.675
F 0.800 0.003 0.316
F 0.200 0.997 0.684
F 0.203 0.003 0.316
F 0.797 0.997 0.684

Calculated values
E_form (uncorrected)   -2.064 eV/atom
Crystal system   monoclinic

***

[7]
Density functional theory data (PBE) for an optimized crystal structure of BeAgO2F.

abc: 4.060 4.060 4.053
angles: 90.00 90.00 90.00
Fractional coordinates of all 5 atoms:
Be 0.500 0.500 0.500
O 0.000 0.500 0.000
O 0.500 0.000 0.000
Ag 0.000 0.000 0.000
F 0.000 0.000 0.500

Calculated values
E_form (uncorrected)   0.279 eV/atom
Crystal system   tetragonal

***

[8]
Density functional theory data (PBE) for an optimized crystal structure of BeAgO2F.

abc: 3.677 3.677 3.505
angles: 90.00 90.00 90.00
Last column: magnetic moment on the atom in μB.
Fractional coordinates of all 5 atoms:
Be 0.000 0.000 0.000  -0.02
O 0.000 0.500 0.000  0.68
O 0.500 0.000 0.000  0.68
Ag 0.500 0.500 0.500  0.40
F 0.000 0.000 0.500  0.06

Calculated values
E_form (uncorrected)   -0.962 eV/atom
Crystal system   tetragonal

***

Question: Number 6 is which compound?
Answer: Na3BeAg3F8